*one*
Mg2AlPt2 after structural relaxation, computed with PBE.

Calculated values
Magnetic moment = 0.00 μB per formula unit
Symmetry = No. 15
Density of states at the Fermi level = 0.1888 states/eV per atom

Cell: 5.496 5.496 7.393 Å, 102.82 102.82 56.06°
Atoms (fractional coordinates):
Mg: 0.011 0.298 0.153
Mg: 0.298 0.011 0.653
Mg: 0.702 0.989 0.347
Mg: 0.989 0.702 0.847
Al: 0.350 0.650 0.250
Al: 0.650 0.350 0.750
Pt: 0.230 0.513 0.495
Pt: 0.487 0.770 0.005
Pt: 0.513 0.230 0.995
Pt: 0.770 0.487 0.505


*two*
Mg2AlPt2 after structural relaxation, computed with PBE.

Calculated values
Magnetic moment = 0.00 μB per formula unit
Symmetry = No. 127
Density of states at the Fermi level = 0.2635 states/eV per atom

Cell: 7.655 7.655 2.868 Å, 90.00 90.00 90.00°
Atoms (fractional coordinates):
Mg: 0.130 0.370 0.000
Mg: 0.370 0.870 0.000
Mg: 0.630 0.130 0.000
Mg: 0.870 0.630 0.000
Al: 0.000 0.000 0.000
Al: 0.500 0.500 0.000
Pt: 0.167 0.667 0.500
Pt: 0.333 0.167 0.500
Pt: 0.667 0.833 0.500
Pt: 0.833 0.333 0.500


*three*
Mg2AlPt2 after structural relaxation, computed with PBE.

Calculated values
Magnetic moment = 0.00 μB per formula unit
Symmetry = No. 139
Density of states at the Fermi level = 0.3359 states/eV per atom

Cell: 6.826 6.826 6.826 Å, 147.61 147.61 46.46°
Atoms (fractional coordinates):
Mg: 0.250 0.750 0.500
Mg: 0.750 0.250 0.500
Al: 0.000 0.000 0.000
Pt: 0.397 0.397 0.000
Pt: 0.603 0.603 0.000


*four*
Mg2AlPt2 after structural relaxation, computed with PBE.

Calculated values
Magnetic moment = 0.00 μB per formula unit
Symmetry = No. 72
Density of states at the Fermi level = 0.3064 states/eV per atom

Cell: 6.786 6.786 6.786 Å, 123.36 75.82 134.03°
Atoms (fractional coordinates):
Mg: 0.114 0.140 0.253
Mg: 0.386 0.640 0.026
Mg: 0.614 0.360 0.974
Mg: 0.886 0.860 0.747
Al: 0.250 0.750 0.500
Al: 0.750 0.250 0.500
Pt: 0.143 0.723 0.866
Pt: 0.357 0.223 0.581
Pt: 0.643 0.777 0.419
Pt: 0.857 0.277 0.134


Which of them is the least stable? Correct choice: *three*.


*one*
Mg3AlPt after structural relaxation, computed with PBE.

Calculated values
Magnetic moment = 0.00 μB per formula unit
Symmetry = No. 221
Density of states at the Fermi level = 0.4170 states/eV per atom

Cell: 4.997 4.997 4.997 Å, 90.00 90.00 90.00°
Atoms (fractional coordinates):
Mg: 0.000 0.000 0.500
Mg: 0.000 0.500 0.000
Mg: 0.500 0.000 0.000
Al: 0.500 0.500 0.500
Pt: 0.000 0.000 0.000


*two*
Mg3AlPt after structural relaxation, computed with PBE.

Calculated values
Magnetic moment = 0.00 μB per formula unit
Symmetry = No. 221
Density of states at the Fermi level = 0.5698 states/eV per atom

Cell: 4.973 4.973 4.973 Å, 90.00 90.00 90.00°
Atoms (fractional coordinates):
Mg: 0.000 0.000 0.500
Mg: 0.000 0.500 0.000
Mg: 0.500 0.000 0.000
Al: 0.000 0.000 0.000
Pt: 0.500 0.500 0.500


Which of them is the least stable? Correct choice: *two*.


*one*
RbMg3Al after structural relaxation, computed with PBE.

Calculated values
Magnetic moment = 0.00 μB per formula unit
Symmetry = No. 221
Density of states at the Fermi level = 0.6816 states/eV per atom

Cell: 5.502 5.502 5.502 Å, 90.00 90.00 90.00°
Atoms (fractional coordinates):
Rb: 0.000 0.000 0.000
Mg: 0.000 0.500 0.500
Mg: 0.500 0.000 0.500
Mg: 0.500 0.500 0.000
Al: 0.500 0.500 0.500


*two*
RbMg3Al after structural relaxation, computed with PBE.

Calculated values
Magnetic moment = 0.00 μB per formula unit
Symmetry = No. 221
Density of states at the Fermi level = 1.3564 states/eV per atom

Cell: 6.398 6.398 6.398 Å, 90.00 90.00 90.00°
Atoms (fractional coordinates):
Rb: 0.000 0.000 0.000
Mg: 0.000 0.000 0.500
Mg: 0.000 0.500 0.000
Mg: 0.500 0.000 0.000
Al: 0.500 0.500 0.500


Which of them is the least stable? Correct choice: *two*.


*one*
MgAlRe after structural relaxation, computed with PBE.

Calculated values
Magnetic moment = 0.00 μB per formula unit
Symmetry = No. 129
Density of states at the Fermi level = 0.4354 states/eV per atom

Cell: 3.047 3.047 10.956 Å, 90.00 90.00 90.00°
Atoms (fractional coordinates):
Mg: 0.250 0.250 0.106
Mg: 0.750 0.750 0.894
Al: 0.250 0.250 0.712
Al: 0.750 0.750 0.288
Re: 0.250 0.250 0.427
Re: 0.750 0.750 0.573


*two*
MgAlRe after structural relaxation, computed with PBE.

Calculated values
Magnetic moment = 1.32 μB per formula unit
Symmetry = No. 216
Density of states at the Fermi level = 1.0308 states/eV per atom

Cell: 4.362 4.362 4.362 Å, 60.00 60.00 60.00°
Atoms (fractional coordinates):
Mg: 0.000 0.000 0.000
Al: 0.500 0.500 0.500
Re: 0.250 0.250 0.250


*three*
MgAlRe after structural relaxation, computed with PBE.

Calculated values
Magnetic moment = 0.00 μB per formula unit
Symmetry = No. 107
Density of states at the Fermi level = 0.8249 states/eV per atom

Cell: 6.745 6.745 6.745 Å, 156.35 156.35 33.69°
Atoms (fractional coordinates):
Mg: 0.000 0.000 0.000
Al: 0.316 0.316 0.000
Re: 0.668 0.668 0.000


Which of them is the least stable? Correct choice: *two*.


*one*
MgAl4Rh after structural relaxation, computed with PBE.

Calculated values
Magnetic moment = 0.00 μB per formula unit
Symmetry = No. 216
Density of states at the Fermi level = 0.5394 states/eV per atom

Cell: 5.179 5.179 5.179 Å, 60.00 60.00 60.00°
Atoms (fractional coordinates):
Mg: 0.000 0.000 0.000
Al: 0.375 0.375 0.375
Al: 0.375 0.375 0.874
Al: 0.375 0.874 0.375
Al: 0.874 0.375 0.375
Rh: 0.750 0.750 0.750


*two*
MgAl4Rh after structural relaxation, computed with PBE.

Calculated values
Magnetic moment = 0.00 μB per formula unit
Symmetry = No. 2
Density of states at the Fermi level = 0.2638 states/eV per atom

Cell: 5.397 6.774 6.835 Å, 112.19 108.36 101.24°
Atoms (fractional coordinates):
Mg: 0.209 0.359 0.052
Mg: 0.791 0.641 0.948
Al: 0.081 0.885 0.754
Al: 0.159 0.472 0.691
Al: 0.405 0.844 0.129
Al: 0.496 0.291 0.460
Al: 0.504 0.709 0.540
Al: 0.595 0.156 0.871
Al: 0.841 0.528 0.309
Al: 0.919 0.115 0.246
Rh: 0.196 0.907 0.421
Rh: 0.804 0.093 0.579


Which of them is the least stable? Correct choice: *one*.


*one*
Mg3AlRh after structural relaxation, computed with PBE.

Calculated values
Magnetic moment = 0.79 μB per formula unit
Symmetry = No. 221
Density of states at the Fermi level = 0.9087 states/eV per atom

Cell: 4.962 4.962 4.962 Å, 90.00 90.00 90.00°
Atoms (fractional coordinates):
Mg: 0.000 0.000 0.500
Mg: 0.000 0.500 0.000
Mg: 0.500 0.000 0.000
Al: 0.000 0.000 0.000
Rh: 0.500 0.500 0.500


*two*
Mg3AlRh after structural relaxation, computed with PBE.

Calculated values
Magnetic moment = 0.00 μB per formula unit
Symmetry = No. 221
Density of states at the Fermi level = 0.3542 states/eV per atom

Cell: 4.922 4.922 4.922 Å, 90.00 90.00 90.00°
Atoms (fractional coordinates):
Mg: 0.000 0.000 0.500
Mg: 0.000 0.500 0.000
Mg: 0.500 0.000 0.000
Al: 0.500 0.500 0.500
Rh: 0.000 0.000 0.000


Which of them is the least stable? Correct choice: *one*.